Record 1
The following is a DFT calculation (GGA-PBE) of a relaxed V2CrGe6 crystal.

Cell lengths 4.7693, 4.7937, 6.6481 Å; angles 90.00, 90.00, 119.83 degrees
Last column: nearest neighbours and their distance in Å.
Element x y z (fractional)
Ge (0.1665, 0.3331, 0.0000)  2 V 2.59, 5 Ge 2.61-2.77, 3 Cr 2.76-2.77
Ge (0.6649, 0.8320, 0.6670)  1 Cr 2.61, 5 Ge 2.61-2.77, 4 V 2.63-2.78
Ge (0.3351, 0.1680, 0.6670)  1 Cr 2.61, 5 Ge 2.61-2.77, 4 V 2.63-2.78
Ge (0.1672, 0.8320, 0.3330)  1 Cr 2.61, 5 Ge 2.61-2.77, 4 V 2.63-2.78
Ge (0.8335, 0.6669, 0.0000)  2 V 2.59, 5 Ge 2.61-2.77, 3 Cr 2.76-2.77
Ge (0.8328, 0.1680, 0.3330)  1 Cr 2.61, 5 Ge 2.61-2.77, 4 V 2.63-2.78
Cr (0.5000, 0.0000, 0.0000)  10 Ge 2.61-2.77
V (0.5000, 0.5000, 0.3303)  10 Ge 2.59-2.78
V (0.0000, 0.5000, 0.6697)  10 Ge 2.59-2.78

Computed properties:
Crystal system   orthorhombic
Space-group type   C222
Calculated density   7.427 g/cm3
Formation energy   -0.090 eV/atom
Energy   -56.4 eV for the cell shown

Record 2
The following is a DFT calculation (GGA-PBE) of a relaxed V2Cr2Ge3 crystal.

Cell lengths 2.7133, 6.4173, 6.1438 Å; angles 110.84, 81.56, 99.36 degrees
Last column: nearest neighbours and their distance in Å.
Element x y z (fractional)
Cr (0.5072, 0.7567, 0.1964)  2 V 2.38-2.51, 3 Ge 2.42-2.55
Cr (0.4928, 0.2433, 0.8036)  2 V 2.38-2.51, 3 Ge 2.42-2.55
Ge (0.0000, 0.0000, 0.0000)  2 Cr 2.42, 2 V 2.57, 4 Ge 2.70-2.71
Ge (0.1146, 0.5642, 0.7602)  2 Cr 2.51-2.55, 1 V 2.67, 3 Ge 2.70-2.71
Ge (0.8854, 0.4358, 0.2398)  2 Cr 2.51-2.55, 1 V 2.67, 3 Ge 2.70-2.71
V (0.7151, 0.8520, 0.5862)  2 Cr 2.38-2.51, 1 Ge 2.57
V (0.2849, 0.1480, 0.4138)  2 Cr 2.38-2.51, 1 Ge 2.57

Computed properties:
Crystal system   triclinic
Space-group type   P-1
Calculated density   7.167 g/cm3
Formation energy   0.057 eV/atom
Energy   -50.9 eV for the cell shown

Record 3
The following is a DFT calculation (GGA-PBE) of a relaxed V4CrGe crystal.

Cell lengths 3.8520, 4.1456, 5.8780 Å; angles 82.58, 89.99, 90.00 degrees
Last column: nearest neighbours and their distance in Å.
Element x y z (fractional)
V (0.0013, 0.5178, 0.7195)  1 Cr 2.23
V (0.5014, 0.9493, 0.2700)  2 Cr 2.37, 2 Ge 2.60-2.62
V (0.5013, 0.0452, 0.7262)  2 Cr 2.37, 2 Ge 2.60-2.62
V (0.0012, 0.4768, 0.2767)  1 Cr 2.23
Ge (0.5013, 0.4973, 0.9982)  8 V 2.52-2.62
Cr (0.0013, 0.9973, 0.4981)  6 V 2.23-2.37

Computed properties:
Crystal system   monoclinic
Space-group type   P2/m
Calculated density   5.859 g/cm3
Formation energy   0.365 eV/atom
Energy   -48.5 eV for the cell shown

Record 4
The following is a DFT calculation (GGA-PBE) of a relaxed VCrGe crystal.

Cell lengths 2.6875, 5.0904, 6.4251 Å; angles 79.77, 72.95, 94.93 degrees
Last column: nearest neighbours and their distance in Å.
Element x y z (fractional)
Cr (0.9809, 0.5463, 0.2775)  1 Cr 2.24, 1 V 2.37
Cr (0.4394, 0.3637, 0.0030)  1 Cr 2.24, 1 V 2.37
Ge (0.7960, 0.2082, 0.6403)  2 Cr 2.53-2.54, 4 Ge 2.58-2.69, 4 V 2.64-2.77
Ge (0.6230, 0.7016, 0.6401)  2 Cr 2.53-2.54, 4 Ge 2.58-2.69, 4 V 2.64-2.77
V (0.9694, 0.8729, 0.9660)  1 Cr 2.37, 1 V 2.59, 2 Ge 2.64
V (0.4504, 0.0373, 0.3143)  1 Cr 2.37, 1 V 2.59, 2 Ge 2.64

Computed properties:
Crystal system   triclinic
Space-group type   P-1
Calculated density   7.128 g/cm3
Formation energy   0.009 eV/atom
Energy   -46.7 eV for the cell shown

Record 5
The following is a DFT calculation (GGA-PBE) of a relaxed VCrGeW crystal.

Cell lengths 4.2822, 4.2822, 4.2822 Å; angles 60.00, 60.00, 60.00 degrees
Last column: nearest neighbours and their distance in Å.
Element x y z (fractional)
Ge (0.2500, 0.2500, 0.2500)  4 Cr 2.62, 4 V 2.62
Cr (0.0000, 0.0000, 0.0000)  4 W 2.62, 4 Ge 2.62
V (0.5000, 0.5000, 0.5000)  4 Ge 2.62, 4 W 2.62
W (0.7500, 0.7500, 0.7500)  4 Cr 2.62, 4 V 2.62

Computed properties:
Crystal system   cubic
Space-group type   F-43m
Calculated density   10.749 g/cm3
Formation energy   0.043 eV/atom
Energy   -36.1 eV for the cell shown

Record 6
The following is a DFT calculation (GGA-PBE) of a relaxed Cr2GeW2 crystal.

Cell lengths 4.0160, 4.0160, 5.8576 Å; angles 69.95, 69.95, 90.00 degrees
Last column: nearest neighbours and their distance in Å.
Element x y z (fractional)
Cr (0.3894, 0.3894, 0.2212)  1 Cr 2.27, 4 W 2.46
Cr (0.6106, 0.6106, 0.7788)  1 Cr 2.27, 4 W 2.46
Ge (0.0000, 0.0000, 0.0000)  8 Cr 3.06, 8 W 3.25
W (0.2500, 0.7500, 0.5000)  4 Cr 2.46
W (0.7500, 0.2500, 0.5000)  4 Cr 2.46

Computed properties:
Crystal system   tetragonal
Space-group type   I4/mmm
Calculated density   10.939 g/cm3
Relative energy among the computed polymorphs   190 meV per atom
Formation energy   0.785 eV/atom
Energy   -45.8 eV for the cell shown